[1]
The following is a PBE-GGA calculation of a relaxed structure of ZrZnGa, from Alexandria via LeMat-Bulk.

Cell and atoms, written as POSCAR:
```
ZrZnGa
1.0
-1.299 -2.701 -0.909
0.006 -1.002 2.968
-4.305 3.986 -0.299
Zn Ga Zr
1 1 1
Direct
0.295 0.295 0.590 Zn
0.937 0.937 0.874 Ga
0.618 0.618 0.236 Zr
```

## Properties
- energy of formation (eV/f.u.) = -0.83
- magnetic moment (μB per cell) = 0.00
- E_tot (eV/atom) = -4.560
- space-group type = No. 107
- calculated volume (Å³ per atom) = 17.792

=====

[2]
The following is a PBE-GGA calculation of a relaxed structure of Ba2MgZr, from Alexandria via LeMat-Bulk.

Cell and atoms, written as POSCAR:
```
Ba2MgZr
1.0
5.615 0.000 0.000
0.000 3.762 0.199
0.000 1.519 7.176
Ba Mg Zr
2 1 1
Direct
0.000 0.966 0.940 Ba
0.500 0.289 0.304 Ba
0.000 0.677 0.520 Mg
0.500 0.568 0.736 Zr
```

## Properties
- energy of formation (eV/f.u.) = 1.64
- magnetic moment (μB per cell) = 0.00
- E_tot (eV/atom) = -3.086
- space-group type = No. 6
- calculated volume (Å³ per atom) = 37.462

=====

[3]
The following is a PBE-GGA calculation of a relaxed structure of LiMnMo2, from Alexandria via LeMat-Bulk.

Cell and atoms, written as POSCAR:
```
LiMnMo2
1.0
2.680 -0.001 0.000
-0.864 2.537 0.000
0.000 0.000 9.025
Li Mn Mo
1 1 2
Direct
0.000 0.000 0.506 Li
0.500 0.500 0.762 Mn
0.000 0.000 0.992 Mo
0.500 0.500 0.240 Mo
```

## Properties
- energy of formation (eV/f.u.) = 1.11
- magnetic moment (μB per cell) = 2.90
- E above lowest polymorph (meV/atom) = 0
- E_tot (eV/atom) = -7.908
- space-group type = No. 35
- calculated volume (Å³ per atom) = 15.334

=====

[4]
The following is a PBE-GGA calculation of a relaxed structure of Li2PuAl9, from Alexandria via LeMat-Bulk.

Cell and atoms, written as POSCAR:
```
Li2PuAl9
1.0
-4.495 -0.525 -3.026
-2.121 -4.934 -0.891
-7.136 -0.996 5.874
Li Pu Al
2 1 9
Direct
0.858 0.858 0.427 Li
0.142 0.142 0.573 Li
0.000 0.000 0.000 Pu
0.665 0.665 0.004 Al
0.335 0.335 0.996 Al
0.500 0.500 0.500 Al
0.413 0.413 0.253 Al
0.922 0.413 0.253 Al
0.413 0.922 0.253 Al
0.587 0.587 0.747 Al
0.587 0.078 0.747 Al
0.078 0.587 0.747 Al
```

## Properties
- energy of formation (eV/f.u.) = -1.07
- magnetic moment (μB per cell) = 5.89
- E_tot (eV/atom) = -4.409
- space-group type = No. 166
- calculated volume (Å³ per atom) = 18.711

=====

[5]
The following is a PBE-GGA calculation of a relaxed structure of Ta5Ru3, from Alexandria via LeMat-Bulk.

Cell and atoms, written as POSCAR:
```
Ta5Ru3
1.0
7.732 0.000 0.000
3.866 6.696 0.000
0.000 0.000 5.267
Ru Ta
6 10
Direct
0.601 0.399 0.750 Ru
0.399 0.601 0.250 Ru
0.399 0.000 0.750 Ru
0.000 0.399 0.250 Ru
0.601 0.000 0.250 Ru
0.000 0.601 0.750 Ru
0.762 0.238 0.250 Ta
0.238 0.762 0.750 Ta
0.238 0.000 0.250 Ta
0.000 0.238 0.750 Ta
0.667 0.667 0.000 Ta
0.667 0.667 0.500 Ta
0.333 0.333 0.000 Ta
0.333 0.333 0.500 Ta
0.762 0.000 0.750 Ta
0.000 0.762 0.250 Ta
```

## Properties
- energy of formation (eV/f.u.) = -1.37
- magnetic moment (μB per cell) = 0.00
- E above lowest polymorph (meV/atom) = 144
- E_tot (eV/atom) = -11.057
- space-group type = No. 193
- calculated volume (Å³ per atom) = 17.045

=====

- Number 2 is which compound?
  Ba2MgZr

=====

- Which formula does entry 5 have?
  Ta5Ru3

=====

- Look up the energy of formation of the fifth one.
  -1.37 eV/f.u.